A plane-wave DFT calculation with PBE+U was carried out for RbSbMoF2 after structural relaxation.

Calculated values
The calculation puts the energy at -17.6 eV per cell. The space group is No. 123. For the mass density, the calculation gives 3.5 g/cm³. The calculation puts the volume at 32.31 A^3/atom.

Cell: 4.6850 4.6850 7.3605 Å, 90.00 90.00 90.00°
Element x y z (fractional)
F1 0.5000 0.0000 0.0000
F2 0.0000 0.5000 0.0000
Mo1 0.5000 0.5000 0.5000
Sb1 0.0000 0.0000 0.0000
Rb1 0.0000 0.0000 0.5000